[1]
Computed, not measured: a relaxed Pr4Nd5Ho crystal at the PBE-GGA level of DFT.

The structure belongs to space group P4/nmm (No. 129, origin choice 2); the cell edges are 10.8993, 10.8993 and 5.9153 Å and the angles 90.00°, 90.00° and 90.00°. The inequivalent atoms are Pr at (0.0447, 0.7500, 0.1309), Nd at (0.0891, 0.0891, 0.3374), Nd at (0.2500, 0.7500, 0.5000) and Ho at (0.2500, 0.2500, 0.8571).

The energy relative to the elements is 0.17 eV/atom. The density of states at the Fermi level comes out at 26.43 states/eV per cell.

=====

[2]
Computed, not measured: a relaxed Pr6Nd2Ho3 crystal at the PBE-GGA level of DFT.

The structure belongs to space group C2/m (No. 12); the cell edges are 10.3281, 6.6863 and 12.2784 Å and the angles 90.00°, 105.05° and 90.00°. The inequivalent atoms are Pr at (0.0450, 0.0000, 0.3552), Pr at (0.2189, 0.2572, 0.8554), Nd at (0.1710, 0.5000, 0.3374), Ho at (0.0000, 0.5000, 0.0000) and Ho at (0.1306, 0.5000, 0.6020).

The energy relative to the elements is 0.33 eV/atom. The density of states at the Fermi level comes out at 34.10 states/eV per cell.

=====

[3]
Computed, not measured: a relaxed PrNd6Ho12 crystal at the PBE-GGA level of DFT.

The structure belongs to space group R-3m (No. 166, hexagonal axes); the cell edges are 13.2752, 13.2752 and 12.6628 Å and the angles 90.00°, 90.00° and 120.00°. The inequivalent atoms are Pr at (0.0000, 0.0000, 0.0000), Nd at (0.0365, 0.5182, 0.6176), Ho at (0.0000, 0.2564, 0.5000) and Ho at (0.0916, 0.1832, 0.2643).

The energy relative to the elements is 0.21 eV/atom. The density of states at the Fermi level comes out at 94.85 states/eV per cell.